K4ScCl7, relaxed, DFT GGA-PBE; size of the total moment = 0.2 μB per formula unit; uncorrected energy = -3.97 eV/atom; N(E_F) = 0.0 states/eV/cell
1.0
7.928 -2.530 0.000
7.928 2.530 0.000
-2.590 0.000 10.276
K Sc Cl
4 1 7
Cartesian
-0.355 0.000 2.081
1.894 0.000 8.462
11.373 0.000 1.814
13.621 0.000 8.195
6.633 0.000 5.138
-1.295 0.000 5.138
2.193 0.000 0.390
5.353 0.000 3.007
4.551 0.000 6.505
8.715 0.000 3.771
7.913 0.000 7.269
11.073 0.000 9.886



KScCl4, relaxed, DFT GGA-PBE; excess energy over the best structure of this formula in the dataset = 0.000 eV/f.u.; size of the total moment = 0.0 μB per formula unit; N(E_F) = 0.0 states/eV/cell
1.0
4.751 -7.452 0.000
4.751 7.452 0.000
-3.573 0.000 5.278
K Sc Cl
2 2 8
Cartesian
2.071 5.004 3.958
3.857 -5.004 1.319
3.857 1.137 1.319
2.071 -1.137 3.958
2.153 2.814 1.554
0.167 0.704 4.114
1.953 -0.704 1.475
5.562 2.814 1.085
0.366 -2.814 4.193
3.975 0.704 3.802
5.762 -0.704 1.164
3.776 -2.814 3.723



K2ScCl, relaxed, DFT GGA-PBE; excess energy over the best structure of this formula in the dataset = 2.544 eV/f.u.; size of the total moment = 2.0 μB per formula unit; N(E_F) = 7.3 states/eV/cell
1.0
0.000 4.354 4.354
4.354 0.000 4.354
4.354 4.354 0.000
K Sc Cl
2 1 1
Cartesian
0.000 0.000 0.000
2.177 2.177 2.177
6.530 6.530 6.530
4.354 4.354 4.354



KSc2Cl, relaxed, DFT GGA-PBE; excess energy over the best structure of this formula in the dataset = 2.870 eV/f.u.; size of the total moment = 1.2 μB per formula unit; N(E_F) = 4.4 states/eV/cell
1.0
3.277 0.000 0.000
0.000 5.895 0.000
0.000 0.000 6.486
K Sc Cl
1 2 1
Cartesian
0.000 0.000 0.000
1.639 1.442 3.243
1.639 4.452 3.243
0.000 2.947 0.000



KSc2SiCl, relaxed, DFT GGA-PBE; size of the total moment = 1.1 μB per formula unit; uncorrected energy = -3.09 eV/atom; N(E_F) = 5.1 states/eV/cell
1.0
5.495 0.000 0.000
0.000 5.495 0.000
0.000 0.000 4.949
K Sc Si Cl
1 2 1 1
Cartesian
0.000 0.000 0.000
0.000 2.748 0.000
2.748 0.000 0.000
2.748 2.748 2.474
0.000 0.000 2.474



KScSn2Cl8, relaxed, DFT GGA-PBE; size of the total moment = 0.0 μB per formula unit; uncorrected energy = -4.04 eV/atom; N(E_F) = 0.0 states/eV/cell
1.0
6.342 0.000 0.000
-0.336 6.853 0.000
-0.148 -0.592 8.669
K Sc Sn Cl
1 1 2 8
Cartesian
0.000 0.000 0.000
-0.074 -0.296 4.335
2.896 3.481 2.230
2.963 2.780 6.439
1.222 1.002 2.661
1.076 4.528 3.986
1.473 0.436 6.215
1.553 4.349 0.220
4.306 1.912 8.449
4.385 5.825 2.455
4.783 1.733 4.684
4.637 5.259 6.008



KScSnCl6, relaxed, DFT GGA-PBE; size of the total moment = 0.0 μB per formula unit; uncorrected energy = -4.24 eV/atom; N(E_F) = 0.0 states/eV/cell
1.0
7.075 0.000 0.000
-3.538 6.127 0.000
0.000 0.000 13.385
K Sc Sn Cl
2 2 2 12
Cartesian
0.000 0.000 0.000
0.000 0.000 6.693
0.000 4.085 3.346
3.538 2.042 10.039
0.000 4.085 10.039
3.538 2.042 3.346
-1.108 2.362 1.887
-2.046 3.987 4.806
1.108 2.362 4.806
-0.938 5.905 1.887
2.599 0.222 8.580
1.492 2.140 11.498
2.046 3.987 1.887
0.938 5.905 4.806
4.476 0.222 11.498
2.430 3.765 8.580
5.583 2.140 8.580
4.645 3.765 11.498



KScTeCl2, relaxed, DFT GGA-PBE; size of the total moment = 0.0 μB per formula unit; uncorrected energy = -4.51 eV/atom
1.0
5.119 0.000 0.000
0.000 5.119 0.000
0.000 0.000 5.706
K Sc Te Cl
1 1 1 2
Cartesian
0.000 0.000 0.000
2.560 2.560 2.853
2.560 2.560 0.000
0.000 2.560 2.853
2.560 0.000 2.853



KScTl2Cl6, relaxed, DFT GGA-PBE; size of the total moment = 0.0 μB per formula unit; uncorrected energy = -4.00 eV/atom; N(E_F) = 0.0 states/eV/cell
1.0
3.842 2.218 6.311
-3.842 2.218 6.311
0.000 -4.436 6.311
K Sc Tl Cl
1 1 2 6
Cartesian
0.000 0.000 0.000
0.000 0.000 9.358
0.000 0.000 5.261
0.000 0.000 14.791
-1.985 0.306 7.822
-1.387 -1.573 10.724
0.727 -1.872 7.822
-0.669 1.987 10.724
1.257 1.566 7.822
2.056 -0.414 10.724



KScTlCl6, relaxed, DFT GGA-PBE; size of the total moment = 0.0 μB per formula unit; uncorrected energy = -3.93 eV/atom; N(E_F) = 12.4 states/eV/cell
1.0
7.089 0.000 0.000
-3.545 6.139 0.000
0.000 0.000 13.336
K Sc Tl Cl
2 2 2 12
Cartesian
0.000 0.000 0.000
0.000 0.000 6.668
0.000 4.093 3.334
3.545 2.046 10.002
0.000 4.093 10.002
3.545 2.046 3.334
-1.118 2.399 1.850
-2.026 3.972 4.818
1.118 2.399 4.818
-0.908 5.908 1.850
2.637 0.231 8.518
1.519 2.168 11.486
2.026 3.972 1.850
0.908 5.908 4.818
4.453 0.231 11.486
2.427 3.740 8.518
5.571 2.168 8.518
4.663 3.740 11.486



KTmScCl6, relaxed, DFT GGA-PBE; size of the total moment = 1.0 μB per formula unit; uncorrected energy = -4.62 eV/atom; N(E_F) = 12.1 states/eV/cell
1.0
6.727 0.000 0.000
-3.363 5.826 0.000
0.000 0.000 14.199
K Tm Sc Cl
2 2 2 12
Cartesian
0.000 0.000 0.000
0.000 0.000 7.100
0.000 3.884 3.550
3.363 1.942 10.649
0.000 3.884 10.649
3.363 1.942 3.550
-1.219 2.142 9.144
-2.118 3.699 12.154
1.219 2.142 12.154
-0.899 5.811 9.144
2.465 0.015 2.045
1.245 2.127 5.055
2.118 3.699 9.144
0.899 5.811 12.154
4.262 0.015 5.055
2.144 3.684 2.045
5.482 2.127 2.045
4.583 3.684 5.055



K2YScCl, relaxed, DFT GGA-PBE; size of the total moment = 2.5 μB per formula unit; uncorrected energy = -2.96 eV/atom; N(E_F) = 7.2 states/eV/cell
1.0
7.483 0.000 0.000
0.000 7.483 0.000
0.000 0.000 5.075
K Y Sc Cl
2 1 1 1
Cartesian
0.000 3.741 0.000
3.741 0.000 0.000
0.000 0.000 0.000
3.741 3.741 2.538
0.000 0.000 2.538



KScZn2Cl8, relaxed, DFT GGA-PBE; size of the total moment = 0.0 μB per formula unit; uncorrected energy = -3.63 eV/atom; N(E_F) = 0.0 states/eV/cell
1.0
3.165 1.827 9.754
-3.165 1.827 9.754
0.000 -3.654 9.754
K Sc Zn Cl
1 1 2 8
Cartesian
0.000 0.000 0.000
0.000 0.000 14.632
0.000 0.000 7.133
0.000 0.000 22.130
-2.033 0.047 13.158
-1.057 -1.737 16.105
0.000 0.000 9.344
0.975 -1.784 13.158
-0.975 1.784 16.105
0.000 0.000 19.919
1.057 1.737 13.158
2.033 -0.047 16.105



KScZnCl6, relaxed, DFT GGA-PBE; size of the total moment = 0.0 μB per formula unit; uncorrected energy = -3.95 eV/atom; N(E_F) = 0.0 states/eV/cell
1.0
6.520 0.000 0.000
-3.260 5.646 0.000
0.000 0.000 13.974
K Sc Zn Cl
2 2 2 12
Cartesian
0.000 0.000 0.000
0.000 0.000 6.987
0.000 3.764 3.493
3.260 1.882 10.480
0.000 3.764 10.480
3.260 1.882 3.493
-1.213 2.119 9.049
-2.031 3.536 11.912
1.213 2.119 11.912
-0.818 5.637 9.049
2.442 0.010 2.062
1.229 2.110 4.925
2.031 3.536 9.049
0.818 5.637 11.912
4.078 0.010 4.925
2.047 3.527 2.062
5.290 2.110 2.062
4.472 3.527 4.925



KSeCl, relaxed, DFT GGA-PBE; excess energy over the best structure of this formula in the dataset = 1.791 eV/f.u.; size of the total moment = 2.0 μB per formula unit; N(E_F) = 1.6 states/eV/cell
1.0
0.000 3.751 3.751
3.751 0.000 3.751
3.751 3.751 0.000
K Se Cl
1 1 1
Cartesian
0.000 0.000 0.000
3.751 3.751 3.751
5.627 5.627 5.627



KSeCl4, relaxed, DFT GGA-PBE; excess energy over the best structure of this formula in the dataset = 0.342 eV/f.u.; size of the total moment = 0.0 μB per formula unit; N(E_F) = 4.3 states/eV/cell
1.0
5.627 0.000 0.000
0.000 10.715 0.000
-0.002 0.000 7.020
K Se Cl
2 2 8
Cartesian
1.408 2.679 0.846
4.217 8.036 6.175
1.404 8.036 2.350
4.221 2.679 4.670
1.403 6.224 0.921
1.403 9.849 0.921
1.408 2.679 4.614
1.404 8.036 4.778
4.221 2.679 2.242
4.217 8.036 2.406
4.222 0.866 6.099
4.222 4.491 6.099



KSeCl, relaxed, DFT GGA-PBE; excess energy over the best structure of this formula in the dataset = 2.005 eV/f.u.; size of the total moment = 2.0 μB per formula unit; N(E_F) = 3.9 states/eV/cell
1.0
0.000 3.785 3.785
3.785 0.000 3.785
3.785 3.785 0.000
K Se Cl
1 1 1
Cartesian
0.000 0.000 0.000
1.893 1.893 1.893
5.678 5.678 5.678



KSe3Cl, relaxed, DFT GGA-PBE; excess energy over the best structure of this formula in the dataset = 3.367 eV/f.u.; size of the total moment = 6.0 μB per formula unit; N(E_F) = 0.3 states/eV/cell
1.0
6.389 0.000 0.000
0.000 6.389 0.000
0.000 0.000 6.389
K Se Cl
1 3 1
Cartesian
0.000 0.000 0.000
0.000 0.000 3.194
0.000 3.194 0.000
3.194 0.000 0.000
3.194 3.194 3.194



K2SeCl8, relaxed, DFT GGA-PBE; size of the total moment = 0.0 μB per formula unit; uncorrected energy = -2.73 eV/atom; N(E_F) = 0.0 states/eV/cell
1.0
6.801 -3.762 0.000
6.801 3.762 0.000
-4.339 0.000 6.998
K Se Cl
2 1 8
Cartesian
2.066 0.000 1.885
7.196 0.000 5.113
-2.169 0.000 3.499
3.034 2.059 4.149
-1.280 0.000 5.784
6.229 2.059 2.849
1.512 0.000 6.616
7.751 0.000 0.382
3.034 -2.059 4.149
10.543 0.000 1.214
6.229 -2.059 2.849



KSe2Cl2, relaxed, DFT GGA-PBE; size of the total moment = 0.8 μB per formula unit; uncorrected energy = -2.88 eV/atom; N(E_F) = 2.5 states/eV/cell
1.0
-1.919 1.919 9.597
1.919 -1.919 9.597
1.919 1.919 -9.597
K Se Cl
1 2 2
Cartesian
0.000 0.000 0.000
1.919 0.000 4.799
0.000 1.919 4.799
0.000 0.000 8.141
0.000 0.000 11.053



KSeCl4, relaxed, DFT GGA-PBE; excess energy over the best structure of this formula in the dataset = 5.418 eV/f.u.; size of the total moment = 5.1 μB per formula unit; N(E_F) = 5.1 states/eV/cell
1.0
0.000 4.395 4.395
4.395 0.000 4.395
4.395 4.395 0.000
K Se Cl
1 1 4
Cartesian
0.000 0.000 0.000
6.592 6.592 6.592
3.297 3.297 3.297
5.493 5.493 3.297
5.493 3.297 5.493
3.297 5.493 5.493



KSeCl, relaxed, DFT GGA-PBE; excess energy over the best structure of this formula in the dataset = 1.505 eV/f.u.; size of the total moment = 0.0 μB per formula unit; N(E_F) = 3.1 states/eV/cell
1.0
4.899 0.000 0.000
-2.449 4.242 0.000
0.000 0.000 4.477
K Se Cl
1 1 1
Cartesian
0.000 0.000 0.000
2.449 1.414 2.238
0.000 2.828 2.238



KSeCl4, relaxed, DFT GGA-PBE; excess energy over the best structure of this formula in the dataset = 0.000 eV/f.u.; size of the total moment = 1.0 μB per formula unit; N(E_F) = 0.0 states/eV/cell
1.0
4.134 -3.699 0.000
4.134 3.699 0.000
-3.344 0.000 13.427
K Se Cl
2 2 8
Cartesian
2.067 1.849 0.000
0.395 -1.849 6.714
1.626 1.870 10.070
3.298 -1.870 3.357
-0.070 0.144 1.846
-1.742 -0.144 8.560
0.874 0.184 11.588
2.546 -0.184 4.874
2.379 0.184 8.553
4.051 -0.184 1.839
6.667 0.144 4.867
4.995 -0.144 11.581